Entry 1:
# Tb4Nd2Tm (GGA-PBE, optimized geometry)
data_Tb4Nd2Tm
_cell_length_a 3.633
_cell_length_b 15.039
_cell_length_c 17.389
_cell_angle_alpha 78.34
_cell_angle_beta 90.00
_cell_angle_gamma 90.00
_symmetry_space_group_name_H-M 'P 1'
_symmetry_Int_Tables_number 1
loop_
_symmetry_equiv_pos_as_xyz
'x,y,z'
loop_
_atom_site_label
_atom_site_fract_x
_atom_site_fract_y
_atom_site_fract_z
Tb1 0.999 0.020 0.681
Tb2 0.999 0.195 0.943
Tb3 0.499 0.305 0.057
Tb4 0.501 0.520 0.681
Tb5 0.001 0.805 0.057
Tb6 0.500 0.134 0.792
Tb7 0.000 0.366 0.208
Tb8 0.000 0.323 0.431
Tb9 0.499 0.480 0.319
Tb10 0.500 0.823 0.431
Tb11 0.000 0.677 0.569
Tb12 0.500 0.866 0.208
Tb13 0.500 0.177 0.569
Tb14 0.501 0.695 0.943
Tb15 0.001 0.980 0.319
Tb16 0.000 0.634 0.792
Nd1 0.501 0.605 0.143
Nd2 0.500 0.171 0.331
Nd3 0.001 0.895 0.857
Nd4 0.500 0.829 0.669
Nd5 0.000 0.329 0.669
Nd6 0.499 0.395 0.857
Nd7 0.999 0.105 0.143
Nd8 0.000 0.671 0.331
Tm1 0.000 0.500 0.000
Tm2 0.500 0.000 0.000
Tm3 0.000 0.000 0.500
Tm4 0.500 0.500 0.500
# Crystal system: monoclinic
# Energy above the most stable polymorph in this dataset in meV per atom: 0
# Fermi-level density of states in states/eV/f.u.: 9.0
# SG: C2/m
# Uncorrected energy in eV/atom: -4.540
# Density in Mg/m³: 7.80
# Formation enthalpy at 0 K in eV/atom: 0.107

Entry 2:
# Tb2Nd3Tm (GGA-PBE, optimized geometry)
data_Tb2Nd3Tm
_cell_length_a 11.631
_cell_length_b 6.281
_cell_length_c 6.281
_cell_angle_alpha 120.04
_cell_angle_beta 90.00
_cell_angle_gamma 90.00
_symmetry_space_group_name_H-M 'P 1'
_symmetry_Int_Tables_number 1
loop_
_symmetry_equiv_pos_as_xyz
'x,y,z'
loop_
_atom_site_label
_atom_site_fract_x
_atom_site_fract_y
_atom_site_fract_z
Tm1 0.720 0.833 0.833
Tm2 0.220 0.167 0.167
Tb1 0.220 0.833 0.500
Tb2 0.720 0.500 0.167
Tb3 0.720 0.167 0.500
Tb4 0.220 0.500 0.833
Nd1 0.470 0.165 0.834
Nd2 0.970 0.835 0.166
Nd3 0.970 0.166 0.835
Nd4 0.969 0.501 0.501
Nd5 0.469 0.499 0.499
Nd6 0.470 0.834 0.165
# Crystal system: orthorhombic
# Energy above the most stable polymorph in this dataset in meV per atom: 0
# Fermi-level density of states in states/eV/f.u.: 7.2
# SG: Cmcm
# Uncorrected energy in eV/atom: -4.679
# Density in Mg/m³: 7.69
# Formation enthalpy at 0 K in eV/atom: -0.006